DFT (GGA-PBE) results for crystalline CaInTe2W at its relaxed geometry.

Computed properties:
Space-group type = P4/mmm (123)
Calculated density = 5.2 g/cm3
DOS(E_F) = 4.58 states/eV/f.u.
ΔE_f (raw) = 6.5 eV per formula unit

Geometry as CIF:
```
data_CaInTe2W
_symmetry_space_group_name_H-M 'P 1'
_symmetry_Int_Tables_number 1
_cell_length_a 5.7704
_cell_length_b 5.7704
_cell_length_c 5.6974
_cell_angle_alpha 90.00
_cell_angle_beta 90.00
_cell_angle_gamma 90.00
loop_
_symmetry_equiv_pos_as_xyz
'x,y,z'
loop_
_atom_site_label
_atom_site_type_symbol
_atom_site_fract_x
_atom_site_fract_y
_atom_site_fract_z
Ca1 Ca 0.0000 0.0000 0.0000
In1 In 0.0000 0.0000 0.5000
Te1 Te 0.0000 0.5000 0.0000
Te2 Te 0.5000 0.0000 0.0000
W1 W 0.5000 0.5000 0.5000
```

---

DFT (GGA-PBE) results for crystalline Ca5ThIn6 at its relaxed geometry.

Computed properties:
Energy of formation = -418 meV/atom
Space-group type = C2/m (12)
Calculated density = 5.4 g/cm3
DOS(E_F) = 6.84 states/eV/f.u.

Geometry as CIF:
```
data_Ca5ThIn6
_symmetry_space_group_name_H-M 'P 1'
_symmetry_Int_Tables_number 1
_cell_length_a 9.4469
_cell_length_b 9.4469
_cell_length_c 5.4405
_cell_angle_alpha 106.12
_cell_angle_beta 106.12
_cell_angle_gamma 48.29
loop_
_symmetry_equiv_pos_as_xyz
'x,y,z'
loop_
_atom_site_label
_atom_site_type_symbol
_atom_site_fract_x
_atom_site_fract_y
_atom_site_fract_z
Ca1 Ca 0.0000 0.0000 0.0000
Ca2 Ca 0.1682 0.1682 0.6684
Ca3 Ca 0.3311 0.3311 0.3310
Ca4 Ca 0.6689 0.6689 0.6690
Ca5 Ca 0.8318 0.8318 0.3316
Th1 Th 0.5000 0.5000 0.0000
In1 In 0.0809 0.5868 0.8342
In2 In 0.2463 0.7537 0.5000
In3 In 0.4132 0.9191 0.1658
In4 In 0.5868 0.0809 0.8342
In5 In 0.7537 0.2463 0.5000
In6 In 0.9191 0.4132 0.1658
```

---

DFT (GGA-PBE) results for crystalline Ca2Th2In3 at its relaxed geometry.

Computed properties:
Energy of formation = -268 meV/atom
Space-group type = Cmmm (65)
Calculated density = 6.9 g/cm3
DOS(E_F) = 7.32 states/eV/f.u.

Geometry as CIF:
```
data_Ca2Th2In3
_symmetry_space_group_name_H-M 'P 1'
_symmetry_Int_Tables_number 1
_cell_length_a 17.1039
_cell_length_b 17.1039
_cell_length_c 3.5026
_cell_angle_alpha 90.00
_cell_angle_beta 90.00
_cell_angle_gamma 167.97
loop_
_symmetry_equiv_pos_as_xyz
'x,y,z'
loop_
_atom_site_label
_atom_site_type_symbol
_atom_site_fract_x
_atom_site_fract_y
_atom_site_fract_z
Ca1 Ca 0.1996 0.8004 0.0000
Ca2 Ca 0.8004 0.1996 0.0000
Th1 Th 0.0675 0.9325 0.0000
Th2 Th 0.9325 0.0675 0.0000
In1 In 0.3648 0.6352 0.5000
In2 In 0.5000 0.5000 0.5000
In3 In 0.6352 0.3648 0.5000
```

---

DFT (GGA-PBE) results for crystalline CaTh2In at its relaxed geometry.

Computed properties:
Energy of formation = 128 meV/atom
Space-group type = R-3m (166)
Calculated density = 8.0 g/cm3
Energy above the most stable polymorph in this dataset = 179.2 meV/atom
DOS(E_F) = 3.73 states/eV/f.u.

Geometry as CIF:
```
data_CaTh2In
_symmetry_space_group_name_H-M 'P 1'
_symmetry_Int_Tables_number 1
_cell_length_a 12.7292
_cell_length_b 12.7292
_cell_length_c 12.7292
_cell_angle_alpha 15.53
_cell_angle_beta 15.53
_cell_angle_gamma 15.53
loop_
_symmetry_equiv_pos_as_xyz
'x,y,z'
loop_
_atom_site_label
_atom_site_type_symbol
_atom_site_fract_x
_atom_site_fract_y
_atom_site_fract_z
Ca1 Ca 0.0000 0.0000 0.0000
Th1 Th 0.0921 0.0921 0.0921
Th2 Th 0.9079 0.9079 0.9079
In1 In 0.5000 0.5000 0.5000
```

---

DFT (GGA-PBE) results for crystalline Ca2ThIn3 at its relaxed geometry.

Computed properties:
Energy of formation = -398 meV/atom
Space-group type = P4/mmm (123)
Calculated density = 6.4 g/cm3
DOS(E_F) = 2.73 states/eV/f.u.

Geometry as CIF:
```
data_Ca2ThIn3
_symmetry_space_group_name_H-M 'P 1'
_symmetry_Int_Tables_number 1
_cell_length_a 3.6956
_cell_length_b 3.6956
_cell_length_c 12.5321
_cell_angle_alpha 90.00
_cell_angle_beta 90.00
_cell_angle_gamma 90.00
loop_
_symmetry_equiv_pos_as_xyz
'x,y,z'
loop_
_atom_site_label
_atom_site_type_symbol
_atom_site_fract_x
_atom_site_fract_y
_atom_site_fract_z
Ca1 Ca 0.0000 0.0000 0.1601
Ca2 Ca 0.0000 0.0000 0.8399
Th1 Th 0.0000 0.0000 0.5000
In1 In 0.5000 0.5000 0.0000
In2 In 0.5000 0.5000 0.3265
In3 In 0.5000 0.5000 0.6735
```

---

DFT (GGA-PBE) results for crystalline CaThIn4 at its relaxed geometry.

Computed properties:
Energy of formation = -240 meV/atom
Space-group type = F-43m (216)
Calculated density = 7.6 g/cm3
DOS(E_F) = 4.67 states/eV/f.u.

Geometry as CIF:
```
data_CaThIn4
_symmetry_space_group_name_H-M 'P 1'
_symmetry_Int_Tables_number 1
_cell_length_a 6.0991
_cell_length_b 6.0991
_cell_length_c 6.0991
_cell_angle_alpha 60.00
_cell_angle_beta 60.00
_cell_angle_gamma 60.00
loop_
_symmetry_equiv_pos_as_xyz
'x,y,z'
loop_
_atom_site_label
_atom_site_type_symbol
_atom_site_fract_x
_atom_site_fract_y
_atom_site_fract_z
Ca1 Ca 0.0000 0.0000 0.0000
Th1 Th 0.7500 0.7500 0.7500
In1 In 0.3752 0.3752 0.3752
In2 In 0.3752 0.3752 0.8743
In3 In 0.3752 0.8743 0.3752
In4 In 0.8743 0.3752 0.3752
```

---

DFT (GGA-PBE) results for crystalline CaTh3In12 at its relaxed geometry.

Computed properties:
Energy of formation = -341 meV/atom
Space-group type = P4/mmm (123)
Calculated density = 8.3 g/cm3
DOS(E_F) = 5.41 states/eV/f.u.

Geometry as CIF:
```
data_CaTh3In12
_symmetry_space_group_name_H-M 'P 1'
_symmetry_Int_Tables_number 1
_cell_length_a 4.7231
_cell_length_b 4.7231
_cell_length_c 18.9928
_cell_angle_alpha 90.00
_cell_angle_beta 90.00
_cell_angle_gamma 90.00
loop_
_symmetry_equiv_pos_as_xyz
'x,y,z'
loop_
_atom_site_label
_atom_site_type_symbol
_atom_site_fract_x
_atom_site_fract_y
_atom_site_fract_z
Ca1 Ca 0.0000 0.0000 0.0000
Th1 Th 0.0000 0.0000 0.2499
Th2 Th 0.0000 0.0000 0.5000
Th3 Th 0.0000 0.0000 0.7501
In1 In 0.0000 0.5000 0.1221
In2 In 0.0000 0.5000 0.3742
In3 In 0.0000 0.5000 0.6258
In4 In 0.0000 0.5000 0.8779
In5 In 0.5000 0.0000 0.1221
In6 In 0.5000 0.0000 0.3742
In7 In 0.5000 0.0000 0.6258
In8 In 0.5000 0.0000 0.8779
In9 In 0.5000 0.5000 0.0000
In10 In 0.5000 0.5000 0.2480
In11 In 0.5000 0.5000 0.5000
In12 In 0.5000 0.5000 0.7520
```

---

DFT (GGA-PBE) results for crystalline CaTh2In at its relaxed geometry.

Computed properties:
Energy of formation = -51 meV/atom
Space-group type = P4/mmm (123)
Calculated density = 8.4 g/cm3
Energy above the most stable polymorph in this dataset = 0.0 meV/atom
DOS(E_F) = 4.51 states/eV/f.u.

Geometry as CIF:
```
data_CaTh2In
_symmetry_space_group_name_H-M 'P 1'
_symmetry_Int_Tables_number 1
_cell_length_a 4.8596
_cell_length_b 4.8596
_cell_length_c 5.1771
_cell_angle_alpha 90.00
_cell_angle_beta 90.00
_cell_angle_gamma 90.00
loop_
_symmetry_equiv_pos_as_xyz
'x,y,z'
loop_
_atom_site_label
_atom_site_type_symbol
_atom_site_fract_x
_atom_site_fract_y
_atom_site_fract_z
Ca1 Ca 0.0000 0.0000 0.0000
Th1 Th 0.0000 0.5000 0.5000
Th2 Th 0.5000 0.0000 0.5000
In1 In 0.5000 0.5000 0.0000
```

---

DFT (GGA-PBE) results for crystalline Ca3ThIn4 at its relaxed geometry.

Computed properties:
Energy of formation = -406 meV/atom
Space-group type = P4/mmm (123)
Calculated density = 5.9 g/cm3
DOS(E_F) = 5.60 states/eV/f.u.

Geometry as CIF:
```
data_Ca3ThIn4
_symmetry_space_group_name_H-M 'P 1'
_symmetry_Int_Tables_number 1
_cell_length_a 3.8120
_cell_length_b 3.8120
_cell_length_c 15.6969
_cell_angle_alpha 90.00
_cell_angle_beta 90.00
_cell_angle_gamma 90.00
loop_
_symmetry_equiv_pos_as_xyz
'x,y,z'
loop_
_atom_site_label
_atom_site_type_symbol
_atom_site_fract_x
_atom_site_fract_y
_atom_site_fract_z
Ca1 Ca 0.0000 0.0000 0.0000
Ca2 Ca 0.0000 0.0000 0.2442
Ca3 Ca 0.0000 0.0000 0.7558
Th1 Th 0.0000 0.0000 0.5000
In1 In 0.5000 0.5000 0.1249
In2 In 0.5000 0.5000 0.3679
In3 In 0.5000 0.5000 0.6321
In4 In 0.5000 0.5000 0.8751
```

---

DFT (GGA-PBE) results for crystalline CaThIn6 at its relaxed geometry.

Computed properties:
Energy of formation = -332 meV/atom
Space-group type = P4/mmm (123)
Calculated density = 7.5 g/cm3
DOS(E_F) = 3.30 states/eV/f.u.

Geometry as CIF:
```
data_CaThIn6
_symmetry_space_group_name_H-M 'P 1'
_symmetry_Int_Tables_number 1
_cell_length_a 4.7260
_cell_length_b 4.7260
_cell_length_c 9.4716
_cell_angle_alpha 90.00
_cell_angle_beta 90.00
_cell_angle_gamma 90.00
loop_
_symmetry_equiv_pos_as_xyz
'x,y,z'
loop_
_atom_site_label
_atom_site_type_symbol
_atom_site_fract_x
_atom_site_fract_y
_atom_site_fract_z
Ca1 Ca 0.0000 0.0000 0.0000
Th1 Th 0.0000 0.0000 0.5000
In1 In 0.0000 0.5000 0.2462
In2 In 0.0000 0.5000 0.7538
In3 In 0.5000 0.0000 0.2462
In4 In 0.5000 0.0000 0.7538
In5 In 0.5000 0.5000 0.0000
In6 In 0.5000 0.5000 0.5000
```